[1]
Tb5Cd4Pb | Alexandria via LeMat-Bulk | PBE-GGA | optimized geometry; formation energy from the elements = -0.3480 eV/atom; E_tot = -3.400 eV/atom
1.0
3.775 0.000 0.000
0.000 3.775 0.000
0.000 0.000 18.886
Tb Cd Pb
5 4 1
direct
0.000 0.000 0.000
0.000 0.000 0.197
0.000 0.000 0.394
0.000 0.000 0.606
0.000 0.000 0.803
0.500 0.500 0.100
0.500 0.500 0.293
0.500 0.500 0.707
0.500 0.500 0.900
0.500 0.500 0.500

=====

[2]
TbCd2Pb | Alexandria via LeMat-Bulk | PBE-GGA | optimized geometry; formation energy from the elements = -0.1228 eV/atom; E_tot = -2.665 eV/atom; E above lowest polymorph = 212 meV/atom
1.0
0.000 3.757 3.757
3.757 0.000 3.757
3.757 3.757 0.000
Tb Cd Pb
1 2 1
direct
0.000 0.000 0.000
0.250 0.250 0.250
0.750 0.750 0.750
0.500 0.500 0.500

=====

[3]
Tb4Cd2Pb | Alexandria via LeMat-Bulk | PBE-GGA | optimized geometry; formation energy from the elements = -0.1810 eV/atom; E_tot = -3.618 eV/atom
1.0
2.627 1.517 8.618
-2.627 1.517 8.618
0.000 -3.034 8.618
Tb Cd Pb
4 2 1
direct
0.117 0.117 0.117
0.370 0.370 0.370
0.630 0.630 0.630
0.883 0.883 0.883
0.250 0.250 0.250
0.750 0.750 0.750
0.500 0.500 0.500

=====

[4]
Tb2CdPb8 | Alexandria via LeMat-Bulk | PBE-GGA | optimized geometry; formation energy from the elements = -0.1705 eV/atom; E_tot = -3.792 eV/atom
1.0
4.729 0.000 0.000
0.000 4.729 0.000
0.000 0.000 15.014
Tb Cd Pb
2 1 8
direct
0.000 0.000 0.159
0.000 0.000 0.841
0.000 0.000 0.500
0.000 0.500 0.000
0.000 0.500 0.345
0.000 0.500 0.655
0.500 0.000 0.000
0.500 0.000 0.345
0.500 0.000 0.655
0.500 0.500 0.180
0.500 0.500 0.820

=====

[5]
Tb4Cd3Pb | Alexandria via LeMat-Bulk | PBE-GGA | optimized geometry; formation energy from the elements = -0.3561 eV/atom; E_tot = -3.478 eV/atom
1.0
3.805 0.000 0.000
0.000 5.306 0.000
0.000 0.000 10.695
Tb Cd Pb
4 3 1
direct
0.000 0.000 0.000
0.000 0.000 0.500
0.000 0.500 0.246
0.000 0.500 0.754
0.500 0.000 0.241
0.500 0.000 0.759
0.500 0.500 0.000
0.500 0.500 0.500

=====

[6]
Tb2CdPb4 | Alexandria via LeMat-Bulk | PBE-GGA | optimized geometry; formation energy from the elements = -0.0802 eV/atom; E_tot = -3.653 eV/atom; E above lowest polymorph = 212 meV/atom
1.0
8.279 -1.807 0.000
8.279 1.807 0.000
-3.210 0.000 7.009
Tb Cd Pb
2 1 4
direct
0.224 0.224 0.275
0.776 0.776 0.725
0.000 0.000 0.000
0.084 0.084 0.455
0.373 0.373 0.117
0.627 0.627 0.883
0.916 0.916 0.545

=====

[7]
Tb2Cd2Pb | Alexandria via LeMat-Bulk | PBE-GGA | optimized geometry; formation energy from the elements = -0.2019 eV/atom; E_tot = -3.162 eV/atom
1.0
5.272 -2.246 0.000
5.272 2.246 0.000
-0.471 0.000 6.144
Tb Cd Pb
2 2 1
direct
0.199 0.199 0.210
0.801 0.801 0.790
0.095 0.095 0.681
0.905 0.905 0.319
0.500 0.500 0.000

=====

[8]
TbCd6Pb | Alexandria via LeMat-Bulk | PBE-GGA | optimized geometry; formation energy from the elements = -0.1194 eV/atom; E_tot = -1.848 eV/atom
1.0
4.890 0.000 0.000
0.000 3.819 5.259
0.000 -3.819 5.259
Tb Cd Pb
1 6 1
direct
0.000 0.000 0.000
0.000 0.450 0.450
0.000 0.517 0.922
0.000 0.922 0.517
0.500 0.306 0.721
0.500 0.721 0.306
0.500 0.807 0.807
0.500 0.231 0.231

=====

- The lowest formation energy from the elements belongs to which entry?
  Tb4Cd3Pb

=====

- Among the records above, which one has the highest E_tot?
  TbCd6Pb